# Re2SbIr

Re2SbIr after structural relaxation (PBE-GGA, Alexandria via LeMat-Bulk).

Structure (CIF):
```
data_Re2SbIr
_symmetry_space_group_name_H-M 'P 1'
_symmetry_Int_Tables_number 1
_symmetry_space_group_name_Hall 'P 1'
_cell_length_a 2.956
_cell_length_b 2.956
_cell_length_c 7.568
_cell_angle_alpha 90.00
_cell_angle_beta 90.00
_cell_angle_gamma 90.00
loop_
_atom_site_label
_atom_site_type_symbol
_atom_site_fract_x
_atom_site_fract_y
_atom_site_fract_z
Sb1 Sb 0.000 0.000 0.499
Re1 Re 0.500 0.500 0.229
Re2 Re 0.000 0.000 0.009
Ir1 Ir 0.500 0.500 0.763
```

- Formation energy from raw total energies: 306 meV per atom

---

# BeTcMo2Pb

BeTcMo2Pb after structural relaxation (PBE-GGA, Alexandria via LeMat-Bulk).

Structure (CIF):
```
data_BeTcMo2Pb
_symmetry_space_group_name_H-M 'P 1'
_symmetry_Int_Tables_number 1
_symmetry_space_group_name_Hall 'P 1'
_cell_length_a 4.786
_cell_length_b 4.316
_cell_length_c 4.786
_cell_angle_alpha 90.00
_cell_angle_beta 90.00
_cell_angle_gamma 90.00
loop_
_atom_site_label
_atom_site_type_symbol
_atom_site_fract_x
_atom_site_fract_y
_atom_site_fract_z
Be1 Be 0.000 0.500 0.000
Tc1 Tc 0.000 0.000 0.000
Pb1 Pb 0.500 0.500 0.500
Mo1 Mo 0.500 0.000 0.000
Mo2 Mo 0.000 0.000 0.500
```

- Energy relative to the elements: 1.22 eV/atom

---

# LiTaBi3

LiTaBi3 after structural relaxation (PBE-GGA, Alexandria via LeMat-Bulk).

Structure (CIF):
```
data_LiTaBi3
_symmetry_space_group_name_H-M 'P 1'
_symmetry_Int_Tables_number 1
_symmetry_space_group_name_Hall 'P 1'
_cell_length_a 5.085
_cell_length_b 5.085
_cell_length_c 5.085
_cell_angle_alpha 90.00
_cell_angle_beta 90.00
_cell_angle_gamma 90.00
loop_
_atom_site_label
_atom_site_type_symbol
_atom_site_fract_x
_atom_site_fract_y
_atom_site_fract_z
Bi1 Bi 0.000 0.000 0.500
Bi2 Bi 0.000 0.500 0.000
Bi3 Bi 0.500 0.000 0.000
Li1 Li 0.000 0.000 0.000
Ta1 Ta 0.500 0.500 0.500
```

- Energy relative to the elements: 0.90 eV/atom
- E above lowest polymorph: 505 meV per atom

---

# Nd8HoTm5

Nd8HoTm5 after structural relaxation (PBE-GGA, Alexandria via LeMat-Bulk).

Structure (CIF):
```
data_Nd8HoTm5
_symmetry_space_group_name_H-M 'P 1'
_symmetry_Int_Tables_number 1
_symmetry_space_group_name_Hall 'P 1'
_cell_length_a 8.614
_cell_length_b 8.566
_cell_length_c 8.617
_cell_angle_alpha 116.15
_cell_angle_beta 98.90
_cell_angle_gamma 114.19
loop_
_atom_site_label
_atom_site_type_symbol
_atom_site_fract_x
_atom_site_fract_y
_atom_site_fract_z
Tm1 Tm 0.726 0.593 0.689
Tm2 Tm 0.304 0.132 0.043
Tm3 Tm 0.096 0.407 0.133
Tm4 Tm 0.911 0.868 0.172
Tm5 Tm 0.407 0.999 0.406
Nd1 Nd 0.517 0.870 0.785
Nd2 Nd 0.916 0.130 0.646
Nd3 Nd 0.570 0.656 0.351
Nd4 Nd 0.123 0.660 0.914
Nd5 Nd 0.064 0.764 0.520
Nd6 Nd 0.755 0.235 0.300
Nd7 Nd 0.694 0.343 0.914
Nd8 Nd 0.254 0.340 0.464
Ho1 Ho 0.412 0.503 0.912
```

- Energy relative to the elements: 0.17 eV/atom

---

# BaZnCd

BaZnCd after structural relaxation (PBE-GGA, Alexandria via LeMat-Bulk).

Structure (CIF):
```
data_BaZnCd
_symmetry_space_group_name_H-M 'P 1'
_symmetry_Int_Tables_number 1
_symmetry_space_group_name_Hall 'P 1'
_cell_length_a 4.470
_cell_length_b 6.108
_cell_length_c 7.501
_cell_angle_alpha 104.11
_cell_angle_beta 107.34
_cell_angle_gamma 90.00
loop_
_atom_site_label
_atom_site_type_symbol
_atom_site_fract_x
_atom_site_fract_y
_atom_site_fract_z
Ba1 Ba 0.891 0.683 0.782
Ba2 Ba 0.109 0.317 0.218
Zn1 Zn 0.778 0.118 0.556
Zn2 Zn 0.222 0.882 0.444
Cd1 Cd 0.405 0.209 0.810
Cd2 Cd 0.595 0.791 0.190
```

- Energy relative to the elements: -0.23 eV/atom

---

# Rb2SrScI6

Rb2SrScI6 after structural relaxation (PBE-GGA, Alexandria via LeMat-Bulk).

Structure (CIF):
```
data_Rb2SrScI6
_symmetry_space_group_name_H-M 'P 1'
_symmetry_Int_Tables_number 1
_symmetry_space_group_name_Hall 'P 1'
_cell_length_a 8.593
_cell_length_b 8.937
_cell_length_c 12.391
_cell_angle_alpha 90.00
_cell_angle_beta 90.00
_cell_angle_gamma 90.00
loop_
_atom_site_label
_atom_site_type_symbol
_atom_site_fract_x
_atom_site_fract_y
_atom_site_fract_z
Sr1 Sr 0.000 0.729 0.500
Sr2 Sr 0.500 0.271 0.000
I1 I 0.749 0.462 0.500
I2 I 0.260 0.994 0.500
I3 I 0.000 0.769 0.240
I4 I 0.240 0.006 0.000
I5 I 0.500 0.231 0.260
I6 I 0.760 0.006 0.000
I7 I 0.751 0.538 0.000
I8 I 0.740 0.994 0.500
I9 I 0.251 0.462 0.500
I10 I 0.249 0.538 0.000
I11 I 0.500 0.231 0.740
I12 I 0.000 0.769 0.760
Sc1 Sc 0.000 0.766 0.000
Sc2 Sc 0.500 0.234 0.500
Rb1 Rb 0.000 0.209 0.286
Rb2 Rb 0.500 0.791 0.786
Rb3 Rb 0.500 0.791 0.214
Rb4 Rb 0.000 0.209 0.714
```

- Formation energy from raw total energies: -1357 meV per atom
- E above lowest polymorph: 0 meV per atom

---

| no. | Fermi-level density of states (states/eV per atom) | E_tot (eV per atom) |
| --- | --- | --- |
| 1 | 0.9072 | -9.164 |
| 2 | 1.0568 | -6.670 |
| 3 | 1.0468 | -4.179 |
| 4 | 1.4852 | -4.475 |
| 5 | 0.7108 | -1.602 |
| 6 | 0.5812 | -3.282 |